# 1
# Tb2Pr5Th (PBE, relaxed)
data_Tb2Pr5Th
_space_group_name_H-M_alt 'P b a m'
_space_group_IT_number 55
_cell_length_a 7.3075
_cell_length_b 14.6187
_cell_length_c 5.1801
_cell_angle_alpha 90.00
_cell_angle_beta 90.00
_cell_angle_gamma 90.00
loop_
_space_group_symop_operation_xyz
'x,y,z'
'-x,-y,-z'
'-x,-y,z'
'x,y,-z'
'x+1/2,-y+1/2,-z'
'-x+1/2,y+1/2,z'
'-x+1/2,y+1/2,-z'
'x+1/2,-y+1/2,z'
loop_
_atom_site_label
_atom_site_type_symbol
_atom_site_fract_x
_atom_site_fract_y
_atom_site_fract_z
Tb1 Tb 0.2398 0.1215 0.0000
Pr1 Pr 0.0000 0.5000 0.5000
Pr2 Pr 0.0062 0.7519 0.5000
Pr3 Pr 0.2468 0.8773 0.0000
Th1 Th 0.0000 0.0000 0.5000
# Energy of formation from the pure elements   29 meV per atom
# V   34.6 Å³/atom
# Total moment   0.00 μB per formula unit
# Crystal system   orthorhombic
# Energy   -5.04 eV per atom

# 2
# LiZn2Ag (PBE, relaxed)
data_LiZn2Ag
_space_group_name_H-M_alt 'F m -3 m'
_space_group_IT_number 225
_space_group_name_Hall '-F 4 2 3'
_cell_length_a 6.2618
_cell_length_b 6.2618
_cell_length_c 6.2618
_cell_angle_alpha 90.00
_cell_angle_beta 90.00
_cell_angle_gamma 90.00
loop_
_atom_site_label
_atom_site_type_symbol
_atom_site_fract_x
_atom_site_fract_y
_atom_site_fract_z
Li1 Li 0.0000 0.0000 0.0000
Zn1 Zn 0.2500 0.2500 0.2500
Ag1 Ag 0.0000 0.0000 0.5000
# Energy of formation from the pure elements   -168 meV per atom
# V   15.3 Å³/atom
# Total moment   0.00 μB per formula unit
# Crystal system   cubic
# Energy   -2.00 eV per atom

# 3
# Mn2BeTlS (PBE, relaxed)
data_Mn2BeTlS
_space_group_name_H-M_alt 'P 4/m m m'
_space_group_IT_number 123
_space_group_name_Hall '-P 4 2'
_cell_length_a 4.4729
_cell_length_b 4.4729
_cell_length_c 4.0486
_cell_angle_alpha 90.00
_cell_angle_beta 90.00
_cell_angle_gamma 90.00
loop_
_atom_site_label
_atom_site_type_symbol
_atom_site_fract_x
_atom_site_fract_y
_atom_site_fract_z
Mn1 Mn 0.0000 0.5000 0.0000
Be1 Be 0.0000 0.0000 0.5000
Tl1 Tl 0.5000 0.5000 0.5000
S1 S 0.0000 0.0000 0.0000
# V   16.2 Å³/atom
# Total moment   5.94 μB per formula unit
# Crystal system   tetragonal
# Formation energy without anion corrections   340 meV/atom
# Energy   -5.37 eV per atom

# 4
# TlFeCu2 (PBE, relaxed)
data_TlFeCu2
_space_group_name_H-M_alt 'R 3 m'
_space_group_IT_number 160
_space_group_name_Hall 'R 3 -2"'
_cell_length_a 2.9936
_cell_length_b 2.9936
_cell_length_c 24.7747
_cell_angle_alpha 90.00
_cell_angle_beta 90.00
_cell_angle_gamma 120.00
loop_
_atom_site_label
_atom_site_type_symbol
_atom_site_fract_x
_atom_site_fract_y
_atom_site_fract_z
Tl1 Tl 0.0000 0.0000 0.0000
Fe1 Fe 0.0000 0.0000 0.2400
Cu1 Cu 0.0000 0.0000 0.4994
Cu2 Cu 0.0000 0.0000 0.7592
# Energy of formation from the pure elements   551 meV per atom
# V   16.0 Å³/atom
# Total moment   2.80 μB per formula unit
# Crystal system   trigonal
# ΔE to the lowest computed polymorph   182 meV/atom
# Energy   -4.20 eV per atom

> Which formula does entry 1 have?

Tb2Pr5Th

> V of number 3 (Mn2BeTlS)?

16.2 Å³/atom

> Which of these has the highest total moment?

Mn2BeTlS